## LaSiAu (GGA-PBE)

Data for a relaxed LaSiAu crystal.

Computed properties:
The calculation puts the formation energy from raw total energies at -0.657 eV/atom. As for the crystal system: triclinic. As for the total DFT energy (no corrections): -5.20 eV/atom. The density of states at the Fermi level is 0.442 states/eV per atom.

Lattice parameters (Å, degrees): 4.3828 5.7585 6.4558 99.25 90.56 112.33
With the nearest neighbours (Å) after each atom.
Sites, in units of the cell vectors:
La1 0.1252 0.2428 0.2919  5 Au 3.14-3.39, 4 Si 3.21-3.30
La2 0.8748 0.7572 0.7081  5 Au 3.14-3.39, 4 Si 3.21-3.30
Si1 0.4071 0.8118 0.0760  1 Si 2.38, 2 Au 2.58-2.59
Si2 0.5929 0.1882 0.9240  1 Si 2.38, 2 Au 2.58-2.59
Au1 0.1793 0.3655 0.7942  3 Si 2.58-2.72
Au2 0.8207 0.6345 0.2058  3 Si 2.58-2.72